[1]
CrTc2H2 at its PBEsol-relaxed geometry. Source: Alexandria via LeMat-Bulk, functional SCAN.

Computed properties:
Total energy = -189.695 eV for the cell shown
N(E_F) = 6.42 states/eV/cell

Lattice parameters (Å, degrees): 2.830 2.830 11.179 90.00 90.00 90.00
Space group I4/mmm (No. 139)
Symmetry-distinct sites (fractional):
Cr 0.000 0.000 0.000 [2 per cell]
Tc 0.000 0.000 0.360 [4 per cell]
H 0.000 0.500 0.250 [4 per cell]



[2]
CaZnS2 at its PBEsol-relaxed geometry. Source: Alexandria via LeMat-Bulk, functional SCAN.

Computed properties:
N(E_F) = 0.00 states/eV/cell
Formation energy (no corrections) = -1.40 eV per atom

Lattice parameters (Å, degrees): 4.2707 4.2707 20.8162 90.00 90.00 120.00
Space group R-3m (No. 166, hexagonal axes)
Symmetry-distinct sites (fractional):
Ca 0.0000 0.0000 0.0000 [3 per cell]
Zn 0.0000 0.0000 0.5000 [3 per cell]
S 0.0000 0.0000 0.3988 [6 per cell]



[3]
EuP3O9 at its PBEsol-relaxed geometry. Source: Alexandria via LeMat-Bulk, functional SCAN.

Computed properties:
N(E_F) = 9.36 states/eV/cell
Formation energy (no corrections) = -2.61 eV per atom

Lattice parameters (Å, degrees): 8.512 11.140 7.278 90.00 90.00 90.00
Space group C222_1 (No. 20)
Symmetry-distinct sites (fractional):
Eu 0.122 0.000 0.000 [4 per cell]
P 0.011 0.325 0.545 [8 per cell]
P 0.249 0.000 0.500 [4 per cell]
O 0.000 0.376 0.750 [4 per cell]
O 0.018 0.193 0.963 [8 per cell]
O 0.138 0.391 0.046 [8 per cell]
O 0.152 0.021 0.330 [8 per cell]
O 0.158 0.374 0.462 [8 per cell]



[4]
NaTl3Re at its PBEsol-relaxed geometry. Source: Alexandria via LeMat-Bulk, functional SCAN.

Computed properties:
Energy relative to the elements = 1.591 eV per atom
N(E_F) = 3.36 states/eV/cell

Lattice parameters (Å, degrees): 5.211 5.211 5.211 90.00 90.00 90.00
Space group Pm-3m (No. 221)
Symmetry-distinct sites (fractional):
Na 0.000 0.000 0.000 [1 per cell]
Tl 0.000 0.000 0.500 [3 per cell]
Re 0.500 0.500 0.500 [1 per cell]



[5]
La5Sc at its PBEsol-relaxed geometry. Source: Alexandria via LeMat-Bulk, functional SCAN.

Computed properties:
Energy relative to the elements = 0.026 eV per atom
N(E_F) = 25.24 states/eV/cell
E above lowest polymorph = 0.000 eV/atom

Lattice parameters (Å, degrees): 6.2489 6.2489 17.1451 90.00 90.00 120.00
Space group R32 (No. 155, hexagonal axes)
Symmetry-distinct sites (fractional):
La 0.0000 0.0000 0.1515 [6 per cell]
La 0.0000 0.3788 0.0000 [9 per cell]
Sc 0.0000 0.0000 0.5000 [3 per cell]



[6]
TlAgPb2 at its PBEsol-relaxed geometry. Source: Alexandria via LeMat-Bulk, functional SCAN.

Computed properties:
Energy relative to the elements = 0.075 eV per atom
N(E_F) = 1.42 states/eV/cell
E above lowest polymorph = 0.030 eV/atom

Lattice parameters (Å, degrees): 3.441 3.441 8.597 90.00 90.00 90.00
Space group P4mm (No. 99)
Symmetry-distinct sites (fractional):
Tl 0.000 0.000 0.000 [1 per cell]
Ag 0.500 0.500 0.213 [1 per cell]
Pb 0.000 0.000 0.431 [1 per cell]
Pb 0.500 0.500 0.720 [1 per cell]



[7]
Ag2TeP at its PBEsol-relaxed geometry. Source: Alexandria via LeMat-Bulk, functional SCAN.

Computed properties:
N(E_F) = 8.74 states/eV/cell
Formation energy (no corrections) = 0.53 eV per atom
E above lowest polymorph = 0.156 eV/atom

Lattice parameters (Å, degrees): 6.751 6.751 6.751 90.00 90.00 90.00
Space group F-43m (No. 216)
Symmetry-distinct sites (fractional):
Ag 0.000 0.000 0.000 [4 per cell]
Ag 0.250 0.250 0.250 [4 per cell]
Te 0.000 0.000 0.500 [4 per cell]
P 0.250 0.250 0.750 [4 per cell]



[8]
Gd3GaC at its PBEsol-relaxed geometry. Source: Alexandria via LeMat-Bulk, functional SCAN.

Computed properties:
Energy relative to the elements = -0.420 eV per atom
N(E_F) = 3.18 states/eV/cell

Lattice parameters (Å, degrees): 4.843 4.843 4.843 90.00 90.00 90.00
Space group Pm-3m (No. 221)
Symmetry-distinct sites (fractional):
Gd 0.000 0.000 0.500 [3 per cell]
Ga 0.500 0.500 0.500 [1 per cell]
C 0.000 0.000 0.000 [1 per cell]